A relaxed structure of YMgZn5Cu2, computed with GGA-PBE.

Output
Fermi-level density of states	2.5	states/eV/cell
space group	P4/mmm
volume	157	Å³ per cell
calculated formation energy	-0.0571	eV per atom

a b c (Å): 4.6137 4.6137 7.3564
angles (deg): 90.00 90.00 90.00
Closest atoms and distances in Å follow each position.
Sites, in units of the cell vectors:
Cu (0.5000, 0.5000, 0.8403)  1 Cu 2.35, 5 Zn 2.39-2.50
Zn (0.5000, 0.0000, 0.2470)  2 Cu 2.39
Mg (0.0000, 0.0000, 0.0000)  8 Zn 2.94
Zn (0.0000, 0.5000, 0.7530)  2 Cu 2.39
Zn (0.5000, 0.0000, 0.7530)  2 Cu 2.39
Zn (0.5000, 0.5000, 0.5000)  2 Cu 2.50
Cu (0.5000, 0.5000, 0.1597)  1 Cu 2.35, 5 Zn 2.39-2.50
Y (0.0000, 0.0000, 0.5000)  12 Zn 2.96-3.26
Zn (0.0000, 0.5000, 0.2470)  2 Cu 2.39